# ScIrW

ScIrW after structural relaxation (PBE, the Alexandria database).

abc: 6.1762 6.1762 6.1762
angles: 90.00 90.00 90.00
Last column: nearest neighbours and their distance in Å.
Space group F-43m (No. 216)
Inequivalent atoms, fractional coordinates:
Sc  0.0000  0.0000  0.0000 x4  4 Ir 2.67
Ir  0.2500  0.2500  0.2500 x4  4 W 2.67, 4 Sc 2.67
W  0.0000  0.0000  0.5000 x4  4 Ir 2.67

Properties
Electronic total energy ... -9.408 eV per atom
DOS(E_F) ... 5.3 states/eV per cell